Record 1
Here is an optimized crystal structure of NdSc3Tl2 from Alexandria via LeMat-Bulk. Energies are from PBE.

Unit cell a=4.9100 b=9.6603 c=6.4992 alpha=90.00 beta=90.00 gamma=90.00
Last column: nearest neighbours and their distance in Å.
Sites, in units of the cell vectors:
Nd 0.0000 0.0420 0.0000  5 Tl 3.21-3.40, 2 Nd 3.35, 3 Sc 3.40-3.55
Nd 0.0000 0.9580 0.5000  5 Tl 3.21-3.40, 2 Nd 3.35, 3 Sc 3.40-3.55
Sc 0.0000 0.3178 0.6075  4 Tl 2.98-3.05
Sc 0.0000 0.6822 0.1075  4 Tl 2.98-3.05
Sc 0.5000 0.2048 0.2703  3 Tl 3.00-3.06, 1 Sc 3.34
Sc 0.5000 0.4591 0.8933  5 Tl 3.08-3.33, 5 Sc 3.34-3.37
Sc 0.5000 0.5409 0.3933  5 Tl 3.08-3.33, 5 Sc 3.34-3.37
Sc 0.5000 0.7952 0.7703  3 Tl 3.00-3.06, 1 Sc 3.34
Tl 0.0000 0.3751 0.1503  8 Sc 2.98-3.33
Tl 0.0000 0.6249 0.6503  8 Sc 2.98-3.33
Tl 0.5000 0.1480 0.7248  4 Sc 3.00-3.20, 2 Nd 3.21
Tl 0.5000 0.8520 0.2248  4 Sc 3.00-3.20, 2 Nd 3.21

symmetry = Pmc2_1 (26)
energy of formation = -1.404 eV per formula unit

---

Record 2
Here is an optimized crystal structure of Nd3ScTl from Alexandria via LeMat-Bulk. Energies are from PBE.

Unit cell a=8.5779 b=3.5845 c=10.0889 alpha=90.00 beta=100.78 gamma=90.00
Last column: nearest neighbours and their distance in Å.
Sites, in units of the cell vectors:
Nd 0.0221 0.2500 0.1685  7 Nd 3.35-3.63, 2 Tl 3.45
Nd 0.1730 0.7500 0.4732  3 Sc 3.36-3.40, 2 Tl 3.36, 6 Nd 3.58-3.59
Nd 0.3312 0.7500 0.0410  7 Nd 3.35-3.63, 3 Tl 3.36-3.48, 2 Sc 3.60
Nd 0.6688 0.2500 0.9590  7 Nd 3.35-3.63, 3 Tl 3.36-3.48, 2 Sc 3.60
Nd 0.8270 0.2500 0.5268  3 Sc 3.36-3.40, 2 Tl 3.36, 6 Nd 3.58-3.59
Nd 0.9779 0.7500 0.8315  7 Nd 3.35-3.63, 2 Tl 3.45
Sc 0.4531 0.2500 0.3528  2 Tl 3.17, 3 Nd 3.36-3.40, 2 Sc 3.43
Sc 0.5469 0.7500 0.6472  2 Tl 3.17, 3 Nd 3.36-3.40, 2 Sc 3.43
Tl 0.2933 0.2500 0.7554  2 Sc 3.17, 7 Nd 3.36-3.48
Tl 0.7067 0.7500 0.2446  2 Sc 3.17, 7 Nd 3.36-3.48

symmetry = P2_1/m (11)
energy of formation = -0.422 eV per formula unit

---

Record 3
Here is an optimized crystal structure of Nd4ScTl5 from Alexandria via LeMat-Bulk. Energies are from PBE.

Unit cell a=3.7620 b=3.7620 c=20.0935 alpha=90.00 beta=90.00 gamma=90.00
Last column: nearest neighbours and their distance in Å.
Sites, in units of the cell vectors:
Nd 0.0000 0.0000 0.1040  8 Tl 3.38-3.39, 4 Nd 3.76
Nd 0.0000 0.0000 0.3120  8 Tl 3.38, 4 Nd 3.76, 1 Sc 3.78
Nd 0.0000 0.0000 0.6880  8 Tl 3.38, 4 Nd 3.76, 1 Sc 3.78
Nd 0.0000 0.0000 0.8960  8 Tl 3.38-3.39, 4 Nd 3.76
Sc 0.0000 0.0000 0.5000  8 Tl 3.15
Tl 0.5000 0.5000 0.0000  8 Nd 3.38, 4 Tl 3.76
Tl 0.5000 0.5000 0.2086  8 Nd 3.38-3.39, 4 Tl 3.76
Tl 0.5000 0.5000 0.4160  4 Sc 3.15, 1 Tl 3.37, 4 Nd 3.38
Tl 0.5000 0.5000 0.5840  4 Sc 3.15, 1 Tl 3.37, 4 Nd 3.38
Tl 0.5000 0.5000 0.7914  8 Nd 3.38-3.39, 4 Tl 3.76

symmetry = P4/mmm (123)
energy of formation = -3.671 eV per formula unit

---

Record 4
Here is an optimized crystal structure of NdScTl from Alexandria via LeMat-Bulk. Energies are from PBE.

Unit cell a=7.0438 b=7.0438 c=7.0438 alpha=150.64 beta=150.64 gamma=42.01
Last column: nearest neighbours and their distance in Å.
Sites, in units of the cell vectors:
Nd 0.0000 0.0000 0.0000  4 Tl 3.43, 4 Sc 3.50, 4 Nd 3.57
Sc 0.6838 0.6838 0.0000  4 Tl 3.12, 4 Nd 3.50
Tl 0.3234 0.3234 0.0000  4 Sc 3.12, 4 Nd 3.43

symmetry = I4mm (107)
energy of formation = -0.559 eV per formula unit

---

Record 5
Here is an optimized crystal structure of NdScTl from Alexandria via LeMat-Bulk. Energies are from PBE.

Unit cell a=4.5983 b=4.5983 c=8.1669 alpha=90.00 beta=90.00 gamma=90.00
Last column: nearest neighbours and their distance in Å.
Sites, in units of the cell vectors:
Nd 0.2500 0.2500 0.1505  5 Tl 3.28-3.35, 4 Sc 3.66
Nd 0.7500 0.7500 0.8495  5 Tl 3.28-3.35, 4 Sc 3.66
Sc 0.2500 0.7500 0.5000  4 Tl 3.07, 4 Sc 3.25
Sc 0.7500 0.2500 0.5000  4 Tl 3.07, 4 Sc 3.25
Tl 0.2500 0.2500 0.7492  4 Sc 3.07, 5 Nd 3.28-3.35
Tl 0.7500 0.7500 0.2508  4 Sc 3.07, 5 Nd 3.28-3.35

symmetry = P4/nmm (129)
energy of formation = -0.814 eV per formula unit

---

Record 6
Here is an optimized crystal structure of NdScTl from Alexandria via LeMat-Bulk. Energies are from PBE.

Unit cell a=5.1103 b=5.1103 c=3.7842 alpha=90.00 beta=90.00 gamma=120.00
Last column: nearest neighbours and their distance in Å.
Sites, in units of the cell vectors:
Nd 0.0000 0.0000 0.0000  6 Tl 3.50-3.51, 6 Sc 3.50-3.51, 2 Nd 3.78
Sc 0.3333 0.6667 0.5014  3 Tl 2.95
Tl 0.6667 0.3333 0.4968  3 Sc 2.95

symmetry = P3m1 (156)
energy of formation = -0.584 eV per formula unit